Record 1
{
  "formula": "Rb7Au2BrO2",
  "functional": "PBE-GGA",
  "state": "optimized geometry",
  "lattice": [[-2.827, -1.082, 3.880], [-5.382, -2.354, -4.578], [9.107, -10.292, 0.644]],
  "species": ["Au", "Au", "Rb", "Rb", "Rb", "Rb", "Rb", "Rb", "Rb", "Br", "O", "O"],
  "fractional_positions": [[0.300, 0.899, 0.600], [0.700, 0.299, 0.400], [0.295, 0.394, 0.589], [0.705, 0.805, 0.411], [0.884, 0.256, 0.769], [0.417, 0.801, 0.834], [0.583, 0.967, 0.166], [0.500, 0.423, 0.000], [0.116, 0.487, 0.231], [0.000, 0.077, 0.000], [0.399, 0.445, 0.797], [0.601, 0.647, 0.203]],
  "final_energy_ev_per_fu": -34.834,
  "formation_energy_uncorrected_ev_per_atom": -0.83
}

Record 2
{
  "formula": "Rb2AuBrO",
  "functional": "PBE-GGA",
  "state": "optimized geometry",
  "lattice": [[-6.458, 0.529, -0.248], [-0.382, -3.733, 1.987], [0.030, 3.044, 5.725]],
  "species": ["Rb", "Rb", "Au", "O", "Br"],
  "fractional_positions": [[0.500, 0.000, 0.000], [0.000, 0.000, 0.500], [0.500, 0.500, 0.500], [0.000, 0.500, 0.000], [0.000, 0.000, 0.000]],
  "n_ef_per_ev_fu": 2.3,
  "final_energy_ev_per_fu": -13.909,
  "formation_energy_uncorrected_ev_per_atom": -0.41
}

Record 3
{
  "formula": "Rb6Au2Br2O",
  "functional": "PBE-GGA",
  "state": "optimized geometry",
  "lattice": [[8.202, 0.209, 0.119], [-3.872, 7.233, 0.119], [-1.512, -2.600, 7.883]],
  "species": ["O", "Au", "Au", "Br", "Br", "Rb", "Rb", "Rb", "Rb", "Rb", "Rb"],
  "fractional_positions": [[0.000, 0.000, 0.500], [0.183, 0.817, 0.000], [0.817, 0.183, 0.000], [0.344, 0.656, 0.500], [0.656, 0.344, 0.500], [0.646, 0.944, 0.294], [0.354, 0.056, 0.706], [0.056, 0.354, 0.706], [0.812, 0.812, 0.706], [0.188, 0.188, 0.294], [0.944, 0.646, 0.294]],
  "final_energy_ev_per_fu": -31.405,
  "formation_energy_uncorrected_ev_per_atom": -0.98
}

| no. | calculated volume (Å³ per atom) |
| --- | --- |
| 1 | 39.74 |
| 2 | 35.70 |
| 3 | 43.55 |